[1]
VASP calculation (SCAN) on BaBe2Cd at its PBEsol-relaxed geometry.

Geometry as CIF:
```
data_BaBe2Cd
_symmetry_space_group_name_H-M 'P 4/m m m'
_symmetry_Int_Tables_number 123
_symmetry_space_group_name_Hall '-P 4 2'
_cell_length_a 5.041
_cell_length_b 5.041
_cell_length_c 3.247
_cell_angle_alpha 90.00
_cell_angle_beta 90.00
_cell_angle_gamma 90.00
loop_
_atom_site_label
_atom_site_fract_x
_atom_site_fract_y
_atom_site_fract_z
_atom_site_occupancy
Ba1 0.000 0.000 0.000 1
Be1 0.000 0.500 0.500 1
Cd1 0.500 0.500 0.000 1
```


[2]
VASP calculation (SCAN) on TcPbW2 at its PBEsol-relaxed geometry.

Geometry as CIF:
```
data_TcPbW2
_symmetry_space_group_name_H-M 'C m m m'
_symmetry_Int_Tables_number 65
_symmetry_space_group_name_Hall '-C 2 2'
_cell_length_a 5.426
_cell_length_b 8.337
_cell_length_c 2.977
_cell_angle_alpha 90.00
_cell_angle_beta 90.00
_cell_angle_gamma 90.00
loop_
_atom_site_label
_atom_site_fract_x
_atom_site_fract_y
_atom_site_fract_z
_atom_site_occupancy
Tc1 0.000 0.000 0.000 1
Pb1 0.000 0.500 0.000 1
W1 0.250 0.250 0.500 1
```


[3]
VASP calculation (SCAN) on Cs2BN at its PBEsol-relaxed geometry.

## Properties
The energy relative to the elements, uncorrected is 380 meV per atom.

Geometry as CIF:
```
data_Cs2BN
_symmetry_space_group_name_H-M 'I -4 2 d'
_symmetry_Int_Tables_number 122
_symmetry_space_group_name_Hall 'I -4 2bw'
_cell_length_a 12.346
_cell_length_b 12.346
_cell_length_c 2.968
_cell_angle_alpha 90.00
_cell_angle_beta 90.00
_cell_angle_gamma 90.00
loop_
_atom_site_label
_atom_site_fract_x
_atom_site_fract_y
_atom_site_fract_z
_atom_site_occupancy
Cs1 0.035 0.750 0.125 1
B1 0.000 0.000 0.500 1
N1 0.000 0.000 0.000 1
```


[4]
VASP calculation (SCAN) on TaTeI2N at its PBEsol-relaxed geometry.

## Properties
The energy relative to the elements, uncorrected is 1006 meV per atom.

Geometry as CIF:
```
data_TaTeI2N
_symmetry_space_group_name_H-M 'P 4/m m m'
_symmetry_Int_Tables_number 123
_symmetry_space_group_name_Hall '-P 4 2'
_cell_length_a 5.539
_cell_length_b 5.539
_cell_length_c 5.302
_cell_angle_alpha 90.00
_cell_angle_beta 90.00
_cell_angle_gamma 90.00
loop_
_atom_site_label
_atom_site_fract_x
_atom_site_fract_y
_atom_site_fract_z
_atom_site_occupancy
Ta1 0.000 0.000 0.000 1
Te1 0.000 0.000 0.500 1
I1 0.000 0.500 0.000 1
N1 0.500 0.500 0.500 1
```


[5]
VASP calculation (SCAN) on CrSb2TeRu at its PBEsol-relaxed geometry.

## Properties
The energy relative to the elements, uncorrected is 565 meV per atom.

Geometry as CIF:
```
data_CrSb2TeRu
_symmetry_space_group_name_H-M 'P 4/m m m'
_symmetry_Int_Tables_number 123
_symmetry_space_group_name_Hall '-P 4 2'
_cell_length_a 4.906
_cell_length_b 4.906
_cell_length_c 5.576
_cell_angle_alpha 90.00
_cell_angle_beta 90.00
_cell_angle_gamma 90.00
loop_
_atom_site_label
_atom_site_fract_x
_atom_site_fract_y
_atom_site_fract_z
_atom_site_occupancy
Cr1 0.000 0.000 0.000 1
Sb1 0.000 0.500 0.500 1
Te1 0.500 0.500 0.000 1
Ru1 0.500 0.500 0.500 1
```


[6]
VASP calculation (SCAN) on MnCdPt2 at its PBEsol-relaxed geometry.

Geometry as CIF:
```
data_MnCdPt2
_symmetry_space_group_name_H-M 'I -4 m 2'
_symmetry_Int_Tables_number 119
_symmetry_space_group_name_Hall 'I -4 -2'
_cell_length_a 3.893
_cell_length_b 3.893
_cell_length_c 8.195
_cell_angle_alpha 90.00
_cell_angle_beta 90.00
_cell_angle_gamma 90.00
loop_
_atom_site_label
_atom_site_fract_x
_atom_site_fract_y
_atom_site_fract_z
_atom_site_occupancy
Mn1 0.000 0.000 0.000 1
Cd1 0.000 0.500 0.250 1
Pt1 0.000 0.000 0.500 1
Pt2 0.000 0.500 0.750 1
```


[7]
VASP calculation (SCAN) on LiZrPb2 at its PBEsol-relaxed geometry.

Geometry as CIF:
```
data_LiZrPb2
_symmetry_space_group_name_H-M 'C m m m'
_symmetry_Int_Tables_number 65
_symmetry_space_group_name_Hall '-C 2 2'
_cell_length_a 6.971
_cell_length_b 8.140
_cell_length_c 3.211
_cell_angle_alpha 90.00
_cell_angle_beta 90.00
_cell_angle_gamma 90.00
loop_
_atom_site_label
_atom_site_fract_x
_atom_site_fract_y
_atom_site_fract_z
_atom_site_occupancy
Li1 0.000 0.000 0.000 1
Zr1 0.000 0.500 0.000 1
Pb1 0.250 0.250 0.500 1
```


[8]
VASP calculation (SCAN) on Cs2YAuBr6 at its PBEsol-relaxed geometry.

## Properties
The energy relative to the elements, uncorrected is -1630 meV per atom.

Geometry as CIF:
```
data_Cs2YAuBr6
_symmetry_space_group_name_H-M 'F m -3 m'
_symmetry_Int_Tables_number 225
_symmetry_space_group_name_Hall '-F 4 2 3'
_cell_length_a 11.092
_cell_length_b 11.092
_cell_length_c 11.092
_cell_angle_alpha 90.00
_cell_angle_beta 90.00
_cell_angle_gamma 90.00
loop_
_atom_site_label
_atom_site_fract_x
_atom_site_fract_y
_atom_site_fract_z
_atom_site_occupancy
Cs1 0.250 0.250 0.250 1
Y1 0.000 0.000 0.000 1
Au1 0.000 0.000 0.500 1
Br1 0.000 0.000 0.249 1
```


Number 1: raw total energy -18.83 eV/atom, magnetization 0.00 μB per atom. Number 2: raw total energy -61.64 eV/atom, magnetization 0.00 μB per atom. Number 3: raw total energy -22.71 eV/atom, magnetization 0.01 μB per atom. Number 4: raw total energy -36.32 eV/atom, magnetization 0.60 μB per atom. Number 5: raw total energy -32.43 eV/atom, magnetization 0.86 μB per atom. Number 6: raw total energy -47.74 eV/atom, magnetization 1.11 μB per atom. Number 7: raw total energy -46.51 eV/atom, magnetization 0.00 μB per atom. Number 8: raw total energy -30.57 eV/atom, magnetization 0.00 μB per atom.